# TbHoGaOs

A relaxed TbHoGaOs crystal (GGA-PBE, Alexandria via LeMat-Bulk).

## Properties
ΔH_f (0 K), eV per atom: -0.36
Space group: F-43m, No. 216

Unit cell a=4.9257 b=4.9257 c=4.9257 alpha=60.00 beta=60.00 gamma=60.00
Positions (direct):
Tb 0.0000 0.0000 0.0000
Ho 0.5000 0.5000 0.5000
Ga 0.2500 0.2500 0.2500
Os 0.7500 0.7500 0.7500

# Pr5Sb2Ru

A relaxed Pr5Sb2Ru crystal (GGA-PBE, Alexandria via LeMat-Bulk).

## Properties
Energy relative to the elements, uncorrected, eV/atom: -0.37
Space group: Cmcm, No. 63

Unit cell a=7.1260 b=7.1260 c=14.8240 alpha=90.00 beta=90.00 gamma=128.29
Positions (direct):
Pr 0.0587 0.9413 0.6184
Pr 0.0587 0.9413 0.8816
Pr 0.3003 0.6997 0.2500
Pr 0.3476 0.6524 0.6047
Pr 0.3476 0.6524 0.8953
Pr 0.6524 0.3476 0.1047
Pr 0.6524 0.3476 0.3953
Pr 0.6997 0.3003 0.7500
Pr 0.9413 0.0587 0.1184
Pr 0.9413 0.0587 0.3816
Sb 0.1844 0.8156 0.0642
Sb 0.1844 0.8156 0.4358
Sb 0.8156 0.1844 0.5642
Sb 0.8156 0.1844 0.9358
Ru 0.2052 0.7948 0.7500
Ru 0.7948 0.2052 0.2500

# V2CoPt

A relaxed V2CoPt crystal (GGA-PBE, Alexandria via LeMat-Bulk).

## Properties
ΔH_f (0 K), eV per atom: 0.22
Space group: I-42d, No. 122

Unit cell a=8.8094 b=8.8094 c=8.8094 alpha=155.80 beta=155.80 gamma=34.49
Positions (direct):
V 0.1071 0.6250 0.9821
V 0.3750 0.3571 0.4821
V 0.6429 0.1250 0.0179
V 0.8750 0.8929 0.5179
Co 0.0000 0.0000 0.0000
Co 0.7500 0.2500 0.5000
Pt 0.2500 0.7500 0.5000
Pt 0.5000 0.5000 0.0000

# Ba2BeCd

A relaxed Ba2BeCd crystal (GGA-PBE, Alexandria via LeMat-Bulk).

## Properties
ΔH_f (0 K), eV per atom: 0.30
Space group: F222, No. 22
Polymorph energy (0 for the lowest one), meV/atom: 212

Unit cell a=5.5531 b=5.5516 c=5.5473 alpha=60.04 beta=60.02 gamma=59.94
Positions (direct):
Ba 0.0000 0.0000 0.0000
Ba 0.2500 0.2500 0.2500
Be 0.7500 0.7500 0.7500
Cd 0.5000 0.5000 0.5000

# Ba2Ga3HgGe4

A relaxed Ba2Ga3HgGe4 crystal (GGA-PBE, Alexandria via LeMat-Bulk).

## Properties
ΔH_f (0 K), eV per atom: -0.35
Space group: P-4m2, No. 115

Unit cell a=4.8619 b=4.8619 c=10.3267 alpha=90.00 beta=90.00 gamma=90.00
Positions (direct):
Ba 0.0000 0.5000 0.2449
Ba 0.5000 0.0000 0.7551
Ga 0.0000 0.5000 0.8858
Ga 0.5000 0.0000 0.1142
Ga 0.5000 0.5000 0.5000
Hg 0.0000 0.0000 0.5000
Ge 0.0000 0.0000 0.0000
Ge 0.0000 0.5000 0.6342
Ge 0.5000 0.0000 0.3658
Ge 0.5000 0.5000 0.0000

# Dy2TmBiC

A relaxed Dy2TmBiC crystal (GGA-PBE, Alexandria via LeMat-Bulk).

## Properties
ΔH_f (0 K), eV per atom: -0.53
Space group: P4/mmm, No. 123

Unit cell a=4.9374 b=4.9374 c=4.8295 alpha=90.00 beta=90.00 gamma=90.00
Positions (direct):
Dy 0.0000 0.5000 0.0000
Dy 0.5000 0.0000 0.0000
Tm 0.0000 0.0000 0.5000
Bi 0.5000 0.5000 0.5000
C 0.0000 0.0000 0.0000

# Hf2RuPt

A relaxed Hf2RuPt crystal (GGA-PBE, Alexandria via LeMat-Bulk).

## Properties
ΔH_f (0 K), eV per atom: -0.94
Space group: Cmcm, No. 63

Unit cell a=9.9746 b=9.9746 c=4.4543 alpha=90.00 beta=90.00 gamma=160.95
Positions (direct):
Hf 0.0572 0.9428 0.7500
Hf 0.1909 0.8091 0.2500
Hf 0.8091 0.1909 0.7500
Hf 0.9428 0.0572 0.2500
Ru 0.4402 0.5598 0.7500
Ru 0.5598 0.4402 0.2500
Pt 0.3307 0.6693 0.2500
Pt 0.6693 0.3307 0.7500

# Tl3RuN

A relaxed Tl3RuN crystal (GGA-PBE, Alexandria via LeMat-Bulk).

## Properties
Energy relative to the elements, uncorrected, eV/atom: 1.13
Space group: Pm-3m, No. 221
Polymorph energy (0 for the lowest one), meV/atom: 0

Unit cell a=5.2940 b=5.2940 c=5.2940 alpha=90.00 beta=90.00 gamma=90.00
Positions (direct):
Tl 0.0000 0.0000 0.5000
Tl 0.0000 0.5000 0.0000
Tl 0.5000 0.0000 0.0000
Ru 0.0000 0.0000 0.0000
N 0.5000 0.5000 0.5000

# Rb2ZrSeI6

A relaxed Rb2ZrSeI6 crystal (GGA-PBE, Alexandria via LeMat-Bulk).

## Properties
Energy relative to the elements, uncorrected, eV/atom: -0.82
Space group: I4/mmm, No. 139

Unit cell a=8.6500 b=8.6500 c=8.6500 alpha=114.77 beta=114.77 gamma=99.33
Positions (direct):
Rb 0.2500 0.7500 0.5000
Rb 0.7500 0.2500 0.5000
Zr 0.0000 0.0000 0.0000
Se 0.5000 0.5000 0.0000
I 0.2194 0.2194 0.4389
I 0.2194 0.7806 0.0000
I 0.2567 0.2567 0.0000
I 0.7433 0.7433 0.0000
I 0.7806 0.2194 0.0000
I 0.7806 0.7806 0.5611

# LiAc2Cd3In4

A relaxed LiAc2Cd3In4 crystal (GGA-PBE, Alexandria via LeMat-Bulk).

## Properties
ΔH_f (0 K), eV per atom: -0.34
Space group: P-4m2, No. 115

Unit cell a=4.7770 b=4.7770 c=12.0350 alpha=90.00 beta=90.00 gamma=90.00
Positions (direct):
Li 0.0000 0.0000 0.0000
Ac 0.0000 0.5000 0.7523
Ac 0.5000 0.0000 0.2477
Cd 0.0000 0.5000 0.3580
Cd 0.5000 0.0000 0.6420
Cd 0.5000 0.5000 0.0000
In 0.0000 0.0000 0.5000
In 0.0000 0.5000 0.1275
In 0.5000 0.0000 0.8725
In 0.5000 0.5000 0.5000

# GaSnIrO6

A relaxed GaSnIrO6 crystal (GGA-PBE, Alexandria via LeMat-Bulk).

## Properties
Energy relative to the elements, uncorrected, eV/atom: -1.23
Space group: P-31c, No. 163

Unit cell a=5.1375 b=5.1375 c=8.8987 alpha=90.00 beta=90.00 gamma=120.00
Positions (direct):
Ga 0.3333 0.6667 0.2500
Ga 0.6667 0.3333 0.7500
Sn 0.0000 0.0000 0.0000
Sn 0.0000 0.0000 0.5000
Ir 0.3333 0.6667 0.7500
Ir 0.6667 0.3333 0.2500
O 0.0018 0.3489 0.6303
O 0.0018 0.6530 0.8697
O 0.3470 0.3489 0.8697
O 0.3470 0.9982 0.6303
O 0.3489 0.0018 0.1303
O 0.3489 0.3470 0.3697
O 0.6511 0.6530 0.6303
O 0.6511 0.9982 0.8697
O 0.6530 0.0018 0.3697
O 0.6530 0.6511 0.1303
O 0.9982 0.3470 0.1303
O 0.9982 0.6511 0.3697

# Pm4Tl3Ga

A relaxed Pm4Tl3Ga crystal (GGA-PBE, Alexandria via LeMat-Bulk).

## Properties
ΔH_f (0 K), eV per atom: -0.43
Space group: P4/mmm, No. 123
Polymorph energy (0 for the lowest one), meV/atom: 0

Unit cell a=3.7881 b=3.7881 c=15.6677 alpha=90.00 beta=90.00 gamma=90.00
Positions (direct):
Pm 0.0000 0.0000 0.1127
Pm 0.0000 0.0000 0.3706
Pm 0.0000 0.0000 0.6294
Pm 0.0000 0.0000 0.8873
Tl 0.5000 0.5000 0.2424
Tl 0.5000 0.5000 0.5000
Tl 0.5000 0.5000 0.7576
Ga 0.5000 0.5000 0.0000

# ScBiIr

A relaxed ScBiIr crystal (GGA-PBE, Alexandria via LeMat-Bulk).

## Properties
ΔH_f (0 K), eV per atom: -0.40
Space group: I4/mmm, No. 139

Unit cell a=11.6096 b=11.6096 c=11.6096 alpha=162.43 beta=162.43 gamma=24.95
Positions (direct):
Sc 0.1677 0.1677 0.0000
Sc 0.8323 0.8323 0.0000
Bi 0.4206 0.4206 0.0000
Bi 0.5794 0.5794 0.0000
Ir 0.2890 0.2890 0.0000
Ir 0.7110 0.7110 0.0000

# Hf6NiHg3

A relaxed Hf6NiHg3 crystal (GGA-PBE, Alexandria via LeMat-Bulk).

## Properties
ΔH_f (0 K), eV per atom: 0.17
Space group: C2/m, No. 12

Unit cell a=5.8681 b=5.8681 c=7.3082 alpha=103.34 beta=103.34 gamma=63.50
Positions (direct):
Hf 0.1099 0.6291 0.6797
Hf 0.1381 0.1381 0.9179
Hf 0.3709 0.8901 0.3203
Hf 0.6291 0.1099 0.6797
Hf 0.8619 0.8619 0.0821
Hf 0.8901 0.3709 0.3203
Ni 0.0000 0.0000 0.5000
Hg 0.3738 0.3738 0.3120
Hg 0.5000 0.5000 0.0000
Hg 0.6262 0.6262 0.6880

# AcLaRu2

A relaxed AcLaRu2 crystal (GGA-PBE, Alexandria via LeMat-Bulk).

## Properties
ΔH_f (0 K), eV per atom: 0.05
Space group: P4/mmm, No. 123
Polymorph energy (0 for the lowest one), meV/atom: 4

Unit cell a=3.6201 b=3.6201 c=7.2601 alpha=90.00 beta=90.00 gamma=90.00
Positions (direct):
Ac 0.0000 0.0000 0.0000
La 0.0000 0.0000 0.5000
Ru 0.5000 0.5000 0.2649
Ru 0.5000 0.5000 0.7351

# CdNi4Pt

A relaxed CdNi4Pt crystal (GGA-PBE, Alexandria via LeMat-Bulk).

## Properties
ΔH_f (0 K), eV per atom: 0.00
Space group: F-43m, No. 216

Unit cell a=4.7984 b=4.7984 c=4.7984 alpha=60.00 beta=60.00 gamma=60.00
Positions (direct):
Cd 0.0000 0.0000 0.0000
Ni 0.1267 0.6244 0.6244
Ni 0.6244 0.1267 0.6244
Ni 0.6244 0.6244 0.1267
Ni 0.6244 0.6244 0.6244
Pt 0.2500 0.2500 0.2500

# NaSc2Mo

A relaxed NaSc2Mo crystal (GGA-PBE, Alexandria via LeMat-Bulk).

## Properties
ΔH_f (0 K), eV per atom: 0.61
Space group: R-3m, No. 166
Polymorph energy (0 for the lowest one), meV/atom: 282

Unit cell a=11.6338 b=11.6338 c=11.6338 alpha=14.86 beta=14.86 gamma=14.86
Positions (direct):
Na 0.0000 0.0000 0.0000
Sc 0.4240 0.4240 0.4240
Sc 0.5760 0.5760 0.5760
Mo 0.5000 0.5000 0.5000

# Y5Bi2Pb2

A relaxed Y5Bi2Pb2 crystal (GGA-PBE, Alexandria via LeMat-Bulk).

## Properties
ΔH_f (0 K), eV per atom: -0.72
Space group: Cmce, No. 64

Unit cell a=8.8713 b=8.8713 c=8.3297 alpha=90.00 beta=90.00 gamma=55.87
Positions (direct):
Y 0.0000 0.0000 0.0000
Y 0.0292 0.7036 0.6615
Y 0.2036 0.5292 0.1615
Y 0.2964 0.9708 0.6615
Y 0.4708 0.7964 0.1615
Y 0.5000 0.5000 0.5000
Y 0.5292 0.2036 0.8385
Y 0.7036 0.0292 0.3385
Y 0.7964 0.4708 0.8385
Y 0.9708 0.2964 0.3385
Bi 0.2032 0.2032 0.0000
Bi 0.2968 0.2968 0.5000
Bi 0.7032 0.7032 0.5000
Bi 0.7968 0.7968 0.0000
Pb 0.1416 0.8584 0.3590
Pb 0.3584 0.6416 0.8590
Pb 0.6416 0.3584 0.1410
Pb 0.8584 0.1416 0.6410

# AcCdAsH

A relaxed AcCdAsH crystal (GGA-PBE, Alexandria via LeMat-Bulk).

## Properties
Final energy, eV/cell: -14.449
Space group: F-43m, No. 216

Unit cell a=5.0688 b=5.0688 c=5.0688 alpha=60.00 beta=60.00 gamma=60.00
Positions (direct):
Ac 0.0000 0.0000 0.0000
Cd 0.5000 0.5000 0.5000
As 0.7500 0.7500 0.7500
H 0.2500 0.2500 0.2500

# LiGe2Bi2

A relaxed LiGe2Bi2 crystal (GGA-PBE, Alexandria via LeMat-Bulk).

## Properties
ΔH_f (0 K), eV per atom: 0.12
Space group: P4/mbm, No. 127
Polymorph energy (0 for the lowest one), meV/atom: 82

Unit cell a=8.2726 b=8.2726 c=3.8901 alpha=90.00 beta=90.00 gamma=90.00
Positions (direct):
Li 0.0000 0.0000 0.0000
Li 0.5000 0.5000 0.0000
Ge 0.1220 0.3780 0.5000
Ge 0.3780 0.8780 0.5000
Ge 0.6220 0.1220 0.5000
Ge 0.8780 0.6220 0.5000
Bi 0.1650 0.6650 0.0000
Bi 0.3350 0.1650 0.0000
Bi 0.6650 0.8350 0.0000
Bi 0.8350 0.3350 0.0000

Number 1: V 85 Å³ per cell. Number 2: V 591 Å³ per cell. Number 3: V 115 Å³ per cell. Number 4: V 121 Å³ per cell. Number 5: V 244 Å³ per cell. Number 6: V 118 Å³ per cell. Number 7: V 145 Å³ per cell. Number 8: V 148 Å³ per cell. Number 9: V 487 Å³ per cell. Number 10: V 275 Å³ per cell. Number 11: V 203 Å³ per cell. Number 12: V 225 Å³ per cell. Number 13: V 143 Å³ per cell. Number 14: V 217 Å³ per cell. Number 15: V 95 Å³ per cell. Number 16: V 78 Å³ per cell. Number 17: V 90 Å³ per cell. Number 18: V 543 Å³ per cell. Number 19: V 92 Å³ per cell. Number 20: V 266 Å³ per cell.